Entry 1:
VASP calculation (PBE-GGA) on a geometry-optimized Li2NpPbSe4 structure.

a = 4.1423 Å, b = 6.9001 Å, c = 7.3751 Å
α = 69.23°, β = 90.00°, γ = 90.00°
Each line ends with the local moment (μB).
Element x y z (fractional)
Li  0.0000  0.0000  0.0000  0.01
Li  0.5000  0.0000  0.5000  0.00
Np  0.0000  0.5000  0.5000  -3.43
Pb  0.5000  0.5000  0.0000  0.01
Se  0.0000  0.7591  0.7179  0.09
Se  0.0000  0.2409  0.2821  0.09
Se  0.5000  0.7557  0.2613  0.09
Se  0.5000  0.2443  0.7387  0.09

Space group ... P2/m
Raw formation energy ... -0.99 eV per atom


Entry 2:
VASP calculation (PBE-GGA) on a geometry-optimized Li2Np3PbSe6 structure.

a = 4.1652 Å, b = 8.3883 Å, c = 9.3800 Å
α = 102.87°, β = 102.83°, γ = 90.00°
Each line ends with the local moment (μB).
Element x y z (fractional)
Li  0.8212  0.6413  0.6423  0.00
Li  0.1788  0.3587  0.3577  0.00
Np  0.5000  0.5000  0.0000  -3.97
Np  0.8319  0.1705  0.6638  4.04
Np  0.1681  0.8295  0.3362  4.04
Pb  0.5000  0.0000  0.0000  0.00
Se  0.3288  0.9206  0.6576  -0.07
Se  0.6671  0.5805  0.3343  -0.03
Se  0.6712  0.0794  0.3424  -0.07
Se  0.9991  0.2643  0.9981  0.02
Se  0.0009  0.7357  0.0019  0.02
Se  0.3329  0.4195  0.6657  -0.03

Space group ... C2/m
Raw formation energy ... -1.00 eV per atom


Entry 3:
VASP calculation (PBE-GGA) on a geometry-optimized LiNpSnPb structure.

a = 5.2323 Å, b = 5.2323 Å, c = 5.2323 Å
α = 60.00°, β = 60.00°, γ = 60.00°
Each line ends with the local moment (μB).
Element x y z (fractional)
Np  0.0000  0.0000  0.0000  3.95
Pb  0.7500  0.7500  0.7500  -0.02
Sn  0.2500  0.2500  0.2500  -0.02
Li  0.5000  0.5000  0.5000  -0.01

Formation energy from the elements ... 0.135 eV per formula unit
Space group ... F-43m


Entry 4:
VASP calculation (PBE-GGA) on a geometry-optimized LiNp2Te4Pb structure.

a = 4.4414 Å, b = 7.6852 Å, c = 7.8783 Å
α = 108.95°, β = 90.00°, γ = 90.00°
Each line ends with the local moment (μB).
Element x y z (fractional)
Li  0.5000  0.5000  0.0000  -0.01
Np  0.5000  0.0000  0.5000  4.22
Np  0.0000  0.5000  0.5000  4.23
Te  0.5000  0.2605  0.2579  -0.05
Te  0.5000  0.7395  0.7421  -0.05
Te  0.0000  0.2563  0.7472  -0.06
Te  0.0000  0.7437  0.2528  -0.06
Pb  0.0000  0.0000  0.0000  0.01

Space group ... P2/m
Raw formation energy ... -0.59 eV per atom


Number 1: ρ 6.5 Mg/m³, size of the total moment 0.37 μB per atom, uncorrected energy -5.291 eV per atom. Number 2: ρ 7.5 Mg/m³, size of the total moment 0.36 μB per atom, uncorrected energy -6.605 eV per atom. Number 3: ρ 9.3 Mg/m³, size of the total moment 1.00 μB per atom, uncorrected energy -5.608 eV per atom. Number 4: ρ 7.8 Mg/m³, size of the total moment 1.13 μB per atom, uncorrected energy -6.101 eV per atom.